Record 1
Here is crystalline PuU2MoN4 at its relaxed geometry from Alexandria via LeMat-Bulk. Energies are from PBE.

a = 3.2980 Å, b = 6.1312 Å, c = 11.5380 Å
α = 90.00°, β = 90.00°, γ = 105.60°
Each line ends with the local moment (μB).
Fractional positions:
1 N 0.5388 0.0775 0.2500  -0.07
2 N 0.2763 0.5525 0.3832  -0.06
3 N 0.2763 0.5525 0.1168  -0.06
4 N 0.7237 0.4475 0.8832  -0.06
5 N 0.7237 0.4475 0.6168  -0.06
6 N 0.4612 0.9225 0.7500  -0.07
7 N 0.0000 0.0000 0.5000  -0.06
8 N 0.0000 0.0000 0.0000  -0.06
9 U 0.6313 0.2627 0.0506  0.49
10 U 0.3687 0.7373 0.9494  0.49
11 U 0.3687 0.7373 0.5506  0.49
12 U 0.6313 0.2627 0.4494  0.49
13 Mo 0.1536 0.3073 0.2500  -0.18
14 Mo 0.8464 0.6927 0.7500  -0.18
15 Pu 0.8913 0.7825 0.2500  4.87
16 Pu 0.1087 0.2175 0.7500  4.87

The formation energy without anion corrections is -1004 meV per atom. The spin magnetization comes out at 5.59 μB per formula unit. Its space group is Cmcm, No. 63. The crystal system is orthorhombic.

Record 2
Here is crystalline Pu2VMoN5 at its relaxed geometry from Alexandria via LeMat-Bulk. Energies are from PBE.

a = 3.2520 Å, b = 6.6421 Å, c = 9.9225 Å
α = 90.00°, β = 90.00°, γ = 104.17°
Each line ends with the local moment (μB).
Fractional positions:
1 Pu 0.8532 0.7064 0.8014  4.35
2 Pu 0.1093 0.2187 0.6870  4.45
3 Pu 0.8907 0.7813 0.1870  4.45
4 Pu 0.1468 0.2936 0.3014  4.35
5 V 0.5296 0.0591 0.9619  0.20
6 V 0.4704 0.9409 0.4619  0.20
7 N 0.3707 0.7414 0.0003  -0.13
8 N 0.0480 0.0960 0.0572  -0.06
9 N 0.6293 0.2586 0.5003  -0.13
10 N 0.2834 0.5668 0.6548  -0.14
11 N 0.4892 0.9783 0.7827  -0.16
12 N 0.9520 0.9040 0.5572  -0.06
13 N 0.5108 0.0217 0.2827  -0.16
14 N 0.6795 0.3590 0.8692  -0.10
15 N 0.7166 0.4332 0.1548  -0.14
16 N 0.3205 0.6410 0.3692  -0.10
17 Mo 0.2085 0.4169 0.0094  -0.07
18 Mo 0.7915 0.5831 0.5094  -0.07

The formation energy without anion corrections is -982 meV per atom. The spin magnetization comes out at 8.45 μB per formula unit. Its space group is Cmc2_1, No. 36. The crystal system is orthorhombic.

Record 3
Here is crystalline Pu2MoWN6 at its relaxed geometry from Alexandria via LeMat-Bulk. Energies are from PBE.

a = 4.7684 Å, b = 5.3669 Å, c = 5.3669 Å
α = 90.00°, β = 90.00°, γ = 90.00°
Each line ends with the local moment (μB).
Fractional positions:
1 N 0.7179 0.7508 0.7508  -0.08
2 N 0.2024 0.5000 0.5000  -0.06
3 N 0.7179 0.7508 0.2492  -0.08
4 N 0.7179 0.2492 0.7508  -0.08
5 N 0.2008 0.0000 0.0000  -0.05
6 N 0.7179 0.2492 0.2492  -0.08
7 Pu 0.0056 0.5000 0.0000  4.78
8 Pu 0.0056 0.0000 0.5000  4.78
9 W 0.5823 0.0000 0.0000  0.14
10 Mo 0.5784 0.5000 0.5000  0.26

The formation energy without anion corrections is -693 meV per atom. The spin magnetization comes out at 9.73 μB per formula unit. Its space group is P4mm, No. 99. The crystal system is tetragonal.

Record 4
Here is crystalline Pu2ZnMoN5 at its relaxed geometry from Alexandria via LeMat-Bulk. Energies are from PBE.

a = 3.1958 Å, b = 6.9950 Å, c = 9.9040 Å
α = 90.00°, β = 90.00°, γ = 103.20°
Each line ends with the local moment (μB).
Fractional positions:
1 Pu 0.8736 0.7473 0.2009  4.27
2 Pu 0.1264 0.2527 0.7009  4.27
3 Pu 0.8744 0.7488 0.7850  -4.19
4 Pu 0.1256 0.2512 0.2850  -4.19
5 N 0.3574 0.7148 0.0119  -0.04
6 N 0.0710 0.1419 0.0608  0.05
7 N 0.7151 0.4301 0.1494  0.00
8 N 0.5046 0.0092 0.2784  0.06
9 N 0.9290 0.8581 0.5608  0.05
10 N 0.6962 0.3923 0.8579  -0.04
11 N 0.6426 0.2852 0.5119  -0.04
12 N 0.3038 0.6077 0.3579  -0.04
13 N 0.4954 0.9908 0.7784  0.06
14 N 0.2849 0.5699 0.6494  0.00
15 Zn 0.5113 0.0225 0.9814  0.01
16 Zn 0.4887 0.9775 0.4814  0.01
17 Mo 0.7876 0.5752 0.4984  -0.01
18 Mo 0.2124 0.4248 0.9984  -0.01

The formation energy without anion corrections is -558 meV per atom. The spin magnetization comes out at 0.12 μB per formula unit. Its space group is Cmc2_1, No. 36. The crystal system is orthorhombic.

Record 5
Here is crystalline RbMo3N at its relaxed geometry from Alexandria via LeMat-Bulk. Energies are from PBE.

a = 4.6565 Å, b = 4.6565 Å, c = 4.6565 Å
α = 90.00°, β = 90.00°, γ = 90.00°
Fractional positions:
1 Rb 0.0000 0.0000 0.0000
2 N 0.5000 0.5000 0.5000
3 Mo 0.5000 0.0000 0.0000
4 Mo 0.0000 0.0000 0.5000
5 Mo 0.0000 0.5000 0.0000

The formation energy without anion corrections is 4386 meV per atom. The spin magnetization comes out at 0.00 μB per formula unit. Its space group is Pm-3m, No. 221. The crystal system is cubic.

Record 6
Here is crystalline RbMoN3 at its relaxed geometry from Alexandria via LeMat-Bulk. Energies are from PBE.

a = 4.1590 Å, b = 4.1590 Å, c = 4.1590 Å
α = 90.00°, β = 90.00°, γ = 90.00°
Each line ends with the local moment (μB).
Fractional positions:
1 Rb 0.0000 0.0000 0.0000  0.01
2 Mo 0.5000 0.5000 0.5000  -2.91
3 N 0.5000 0.0000 0.0000  0.42
4 N 0.0000 0.0000 0.5000  0.39
5 N 0.0000 0.5000 0.0000  0.52

The formation energy without anion corrections is 3508 meV per atom. The spin magnetization comes out at 1.52 μB per formula unit. Its space group is Pm-3m, No. 221. The crystal system is cubic.

Record 7
Here is crystalline RbMo3N at its relaxed geometry from Alexandria via LeMat-Bulk. Energies are from PBE.

a = 4.3407 Å, b = 4.3407 Å, c = 4.3407 Å
α = 90.00°, β = 90.00°, γ = 90.00°
Fractional positions:
1 Mo 0.5000 0.0000 0.0000
2 Mo 0.0000 0.0000 0.5000
3 Mo 0.0000 0.5000 0.0000
4 Rb 0.5000 0.5000 0.5000
5 N 0.0000 0.0000 0.0000

The formation energy without anion corrections is 1233 meV per atom. The spin magnetization comes out at 0.00 μB per formula unit. Its space group is Pm-3m, No. 221. The crystal system is cubic.

Record 8
Here is crystalline RbMoN3 at its relaxed geometry from Alexandria via LeMat-Bulk. Energies are from PBE.

a = 4.0878 Å, b = 4.0878 Å, c = 4.0878 Å
α = 90.00°, β = 90.00°, γ = 90.00°
Each line ends with the local moment (μB).
Fractional positions:
1 N 0.0000 0.0000 0.5000  0.64
2 N 0.5000 0.0000 0.0000  0.53
3 N 0.0000 0.5000 0.0000  0.65
4 Rb 0.5000 0.5000 0.5000  0.03
5 Mo 0.0000 0.0000 0.0000  -0.58

The formation energy without anion corrections is 449 meV per atom. The spin magnetization comes out at 2.01 μB per formula unit. Its space group is Pm-3m, No. 221. The crystal system is cubic.

Record 9
Here is crystalline RbMoS2N at its relaxed geometry from Alexandria via LeMat-Bulk. Energies are from PBE.

a = 5.2240 Å, b = 5.2240 Å, c = 4.0441 Å
α = 90.00°, β = 90.00°, γ = 90.00°
Fractional positions:
1 Mo 0.5000 0.5000 0.5000
2 Rb 0.0000 0.0000 0.0000
3 N 0.0000 0.0000 0.5000
4 S 0.0000 0.5000 0.0000
5 S 0.5000 0.0000 0.0000

The formation energy without anion corrections is 2710 meV per atom. The spin magnetization comes out at 0.01 μB per formula unit. Its space group is P4/mmm, No. 123. The crystal system is tetragonal.

Record 10
Here is crystalline RbMoS2N at its relaxed geometry from Alexandria via LeMat-Bulk. Energies are from PBE.

a = 4.9503 Å, b = 4.9503 Å, c = 3.9271 Å
α = 90.00°, β = 90.00°, γ = 90.00°
Fractional positions:
1 S 0.5000 0.0000 0.0000
2 S 0.0000 0.5000 0.0000
3 Rb 0.5000 0.5000 0.5000
4 Mo 0.0000 0.0000 0.0000
5 N 0.0000 0.0000 0.5000

The formation energy without anion corrections is -273 meV per atom. The spin magnetization comes out at 0.00 μB per formula unit. Its space group is P4/mmm, No. 123. The crystal system is tetragonal.

Record 11
Here is crystalline RbSb2MoN at its relaxed geometry from Alexandria via LeMat-Bulk. Energies are from PBE.

a = 5.4644 Å, b = 4.0094 Å, c = 5.4644 Å
α = 90.00°, β = 90.00°, γ = 90.00°
Each line ends with the local moment (μB).
Fractional positions:
1 N 0.0000 0.0000 0.0000  -0.10
2 Sb 0.5000 0.0000 0.0000  -0.11
3 Sb 0.0000 0.0000 0.5000  -0.06
4 Mo 0.0000 0.5000 0.0000  1.56
5 Rb 0.5000 0.5000 0.5000  -0.01

The formation energy without anion corrections is 609 meV per atom. The spin magnetization comes out at 1.41 μB per formula unit. Its space group is P4/mmm, No. 123. The crystal system is tetragonal.

Record 12
Here is crystalline RbMoSeN2 at its relaxed geometry from Alexandria via LeMat-Bulk. Energies are from PBE.

a = 4.1030 Å, b = 4.1030 Å, c = 5.8968 Å
α = 90.00°, β = 90.00°, γ = 90.00°
Each line ends with the local moment (μB).
Fractional positions:
1 N 0.5000 0.0000 0.0000  0.35
2 N 0.0000 0.5000 0.0000  0.35
3 Mo 0.5000 0.5000 0.5000  0.19
4 Rb 0.0000 0.0000 0.0000  -0.01
5 Se 0.0000 0.0000 0.5000  0.01

The formation energy without anion corrections is 3065 meV per atom. The spin magnetization comes out at 1.15 μB per formula unit. Its space group is P4/mmm, No. 123. The crystal system is tetragonal.

Record 13
Here is crystalline RbMoSe2N at its relaxed geometry from Alexandria via LeMat-Bulk. Energies are from PBE.

a = 5.8142 Å, b = 5.8142 Å, c = 4.4292 Å
α = 90.00°, β = 90.00°, γ = 90.00°
Each line ends with the local moment (μB).
Fractional positions:
1 N 0.0000 0.0000 0.5000  1.15
2 Se 0.5000 0.0000 0.0000  -0.27
3 Se 0.0000 0.5000 0.0000  -0.27
4 Mo 0.5000 0.5000 0.5000  3.63
5 Rb 0.0000 0.0000 0.0000  0.01

The formation energy without anion corrections is 2259 meV per atom. The spin magnetization comes out at 5.20 μB per formula unit. Its space group is P4/mmm, No. 123. The crystal system is tetragonal.

Record 14
Here is crystalline RbMoSe2N at its relaxed geometry from Alexandria via LeMat-Bulk. Energies are from PBE.

a = 5.2615 Å, b = 5.2615 Å, c = 3.8950 Å
α = 90.00°, β = 90.00°, γ = 90.00°
Fractional positions:
1 N 0.0000 0.0000 0.5000
2 Se 0.5000 0.0000 0.0000
3 Se 0.0000 0.5000 0.0000
4 Rb 0.5000 0.5000 0.5000
5 Mo 0.0000 0.0000 0.0000

The formation energy without anion corrections is -195 meV per atom. The spin magnetization comes out at 0.00 μB per formula unit. Its space group is P4/mmm, No. 123. The crystal system is tetragonal.

Record 15
Here is crystalline RbMoSeN2 at its relaxed geometry from Alexandria via LeMat-Bulk. Energies are from PBE.

a = 4.1278 Å, b = 4.1278 Å, c = 5.1470 Å
α = 90.00°, β = 90.00°, γ = 90.00°
Each line ends with the local moment (μB).
Fractional positions:
1 N 0.5000 0.0000 0.0000  0.14
2 N 0.0000 0.5000 0.0000  0.14
3 Mo 0.0000 0.0000 0.0000  -0.12
4 Rb 0.5000 0.5000 0.5000  0.01
5 Se 0.0000 0.0000 0.5000  0.06

The formation energy without anion corrections is 281 meV per atom. The spin magnetization comes out at 0.37 μB per formula unit. Its space group is P4/mmm, No. 123. The crystal system is tetragonal.

Record 16
Here is crystalline RbSrMoN3 at its relaxed geometry from Alexandria via LeMat-Bulk. Energies are from PBE.

a = 3.9201 Å, b = 7.1294 Å, c = 9.3208 Å
α = 106.36°, β = 90.00°, γ = 105.96°
Fractional positions:
1 Sr 0.3177 0.6355 0.3588
2 Sr 0.6823 0.3645 0.6412
3 Mo 0.9915 0.9830 0.6573
4 Mo 0.0085 0.0170 0.3427
5 N 0.1206 0.2413 0.2762
6 N 0.5142 0.0283 0.4317
7 N 0.4858 0.9717 0.5683
8 N 0.8794 0.7587 0.7238
9 N 0.8753 0.7505 0.2171
10 N 0.1247 0.2495 0.7829
11 Rb 0.3680 0.7360 0.9604
12 Rb 0.6320 0.2640 0.0396

The formation energy without anion corrections is -355 meV per atom. The spin magnetization comes out at 0.00 μB per formula unit. Its space group is C2/m, No. 12. The crystal system is monoclinic.

Record 17
Here is crystalline RbTbMoN3 at its relaxed geometry from Alexandria via LeMat-Bulk. Energies are from PBE.

a = 3.9008 Å, b = 7.0796 Å, c = 8.2855 Å
α = 103.59°, β = 90.00°, γ = 105.99°
Fractional positions:
1 Mo 0.0072 0.0143 0.3310
2 Mo 0.9928 0.9857 0.6690
3 Rb 0.6449 0.2898 0.0687
4 Rb 0.3551 0.7102 0.9313
5 N 0.1614 0.3228 0.3735
6 N 0.8673 0.7347 0.2264
7 N 0.8386 0.6772 0.6265
8 N 0.4873 0.9745 0.6463
9 N 0.1327 0.2653 0.7736
10 N 0.5127 0.0255 0.3537
11 Tb 0.3383 0.6765 0.4198
12 Tb 0.6617 0.3235 0.5802

The formation energy without anion corrections is -528 meV per atom. The spin magnetization comes out at 0.00 μB per formula unit. Its space group is C2/m, No. 12. The crystal system is monoclinic.

Record 18
Here is crystalline RbTeMoN2 at its relaxed geometry from Alexandria via LeMat-Bulk. Energies are from PBE.

a = 4.3521 Å, b = 4.3521 Å, c = 6.7052 Å
α = 90.00°, β = 90.00°, γ = 90.00°
Each line ends with the local moment (μB).
Fractional positions:
1 Te 0.0000 0.0000 0.5000  0.04
2 N 0.5000 0.0000 0.0000  1.04
3 N 0.0000 0.5000 0.0000  1.04
4 Rb 0.0000 0.0000 0.0000  0.09
5 Mo 0.5000 0.5000 0.5000  0.05

The formation energy without anion corrections is 3009 meV per atom. The spin magnetization comes out at 3.11 μB per formula unit. Its space group is P4/mmm, No. 123. The crystal system is tetragonal.

Record 19
Here is crystalline RbTeMoN2 at its relaxed geometry from Alexandria via LeMat-Bulk. Energies are from PBE.

a = 4.2101 Å, b = 4.2101 Å, c = 5.4806 Å
α = 90.00°, β = 90.00°, γ = 90.00°
Each line ends with the local moment (μB).
Fractional positions:
1 Mo 0.0000 0.0000 0.0000  -0.07
2 Rb 0.5000 0.5000 0.5000  0.00
3 N 0.0000 0.5000 0.0000  0.08
4 N 0.5000 0.0000 0.0000  0.08
5 Te 0.0000 0.0000 0.5000  0.02

The formation energy without anion corrections is 579 meV per atom. The spin magnetization comes out at 0.18 μB per formula unit. Its space group is P4/mmm, No. 123. The crystal system is tetragonal.

Record 20
Here is crystalline RbThMoN4 at its relaxed geometry from Alexandria via LeMat-Bulk. Energies are from PBE.

a = 6.3240 Å, b = 6.0752 Å, c = 8.1191 Å
α = 90.00°, β = 105.27°, γ = 90.00°
Each line ends with the local moment (μB).
Fractional positions:
1 Th 0.7938 0.7500 0.4452  0.02
2 Th 0.2062 0.2500 0.5548  0.02
3 N 0.0660 0.9850 0.3396  0.15
4 N 0.9340 0.4850 0.6604  0.15
5 N 0.5352 0.2500 0.7870  0.21
6 N 0.9340 0.0150 0.6604  0.15
7 N 0.0660 0.5150 0.3396  0.15
8 N 0.5399 0.2500 0.4412  0.27
9 N 0.4601 0.7500 0.5588  0.27
10 N 0.4648 0.7500 0.2130  0.21
11 Rb 0.6938 0.7500 0.9207  0.00
12 Rb 0.3062 0.2500 0.0793  0.00
13 Mo 0.2635 0.7500 0.3469  -0.10
14 Mo 0.7365 0.2500 0.6531  -0.10

The formation energy without anion corrections is -578 meV per atom. The spin magnetization comes out at 1.05 μB per formula unit. Its space group is P2_1/m, No. 11. The crystal system is monoclinic.